A relaxed NaCdSbPd crystal. Source: the Open Quantum Materials Database, functional GGA-PBE.

Cell: 4.9288 4.9288 4.9288 Å, 60.00 60.00 60.00°
Fractional positions:
Cd  0.2500  0.2500  0.2500
Na  0.7500  0.7500  0.7500
Pd  0.5000  0.5000  0.5000
Sb  0.0000  0.0000  0.0000

Output
Total DFT energy (no corrections) (eV/atom): -3.02
Symmetry: F-43m